[1]
{"formula": "LaAuOF2", "functional": "PBE", "state": "relaxed", "sg": "P4/mmm (123)", "e_above_lowest_polymorph_mev_per_atom": 679, "total_energy_ev_per_atom": -4.86, "lattice": [[4.6099, 0.0000, 0.0000], [0.0000, 4.6099, 0.0000], [0.0000, 0.0000, 4.1083]], "species": ["F", "F", "Au", "O", "La"], "fractional_positions": [[0.0000, 0.5000, 0.0000], [0.5000, 0.0000, 0.0000], [0.0000, 0.0000, 0.0000], [0.0000, 0.0000, 0.5000], [0.5000, 0.5000, 0.5000]]}



[2]
{"formula": "RbLaAuF2", "functional": "PBE", "state": "relaxed", "sg": "P4/mmm (123)", "total_energy_ev_per_atom": -4.86, "lattice": [[-2.5537, 2.3367, -3.2494], [2.5246, -2.0505, -3.4586], [-4.1802, -4.8299, -0.1879]], "species": ["F", "F", "Au", "Rb", "La"], "fractional_positions": [[0.0000, 0.5000, 0.0000], [0.5000, 0.0000, 0.0000], [0.0000, 0.0000, 0.5000], [0.5000, 0.5000, 0.5000], [0.0000, 0.0000, 0.0000]]}



[3]
{"formula": "LaTcAu2F", "functional": "PBE", "state": "relaxed", "sg": "P4/mmm (123)", "total_energy_ev_per_atom": -4.80, "lattice": [[-2.7497, -1.9062, -3.8661], [-2.6728, -1.3675, 2.5753], [-2.5777, 4.4026, -0.3374]], "species": ["F", "Au", "Au", "Tc", "La"], "fractional_positions": [[0.0000, 0.0000, 0.0000], [0.0000, 0.0000, 0.5000], [0.5000, 0.0000, 0.0000], [0.0000, 0.5000, 0.0000], [0.5000, 0.5000, 0.5000]]}



[4]
{"formula": "La2ZrAuF", "functional": "PBE", "state": "relaxed", "sg": "P4/mmm (123)", "total_energy_ev_per_atom": -4.84, "lattice": [[-0.8257, 2.6248, -5.2608], [4.4984, -1.9291, -1.6686], [-2.8095, -4.8428, -1.9753]], "species": ["F", "Au", "Zr", "La", "La"], "fractional_positions": [[0.5000, 0.5000, 0.5000], [0.0000, 0.0000, 0.0000], [0.0000, 0.5000, 0.0000], [0.0000, 0.0000, 0.5000], [0.5000, 0.0000, 0.0000]]}



[5]
{"formula": "LiAuF3", "functional": "PBE", "state": "relaxed", "sg": "C2/c (15)", "e_above_lowest_polymorph_mev_per_atom": 0, "total_energy_ev_per_atom": -3.82, "lattice": [[-2.6757, -2.7720, -3.8249], [5.9716, -3.9287, -1.5073], [-1.5390, -5.3249, 4.7586]], "species": ["Li", "Li", "Li", "Li", "Au", "Au", "Au", "Au", "F", "F", "F", "F", "F", "F", "F", "F", "F", "F", "F", "F"], "fractional_positions": [[0.2500, 0.5455, 0.4545], [0.2500, 0.0586, 0.9414], [0.7500, 0.4545, 0.5455], [0.7500, 0.9414, 0.0586], [0.7338, 0.3998, 0.0953], [0.2338, 0.0953, 0.3998], [0.7662, 0.9047, 0.6002], [0.2662, 0.6002, 0.9047], [0.5333, 0.1658, 0.0459], [0.0333, 0.0459, 0.1658], [0.9667, 0.9541, 0.8342], [0.4667, 0.8342, 0.9541], [0.0290, 0.3332, 0.4516], [0.5290, 0.4516, 0.3332], [0.4710, 0.5484, 0.6668], [0.9710, 0.6668, 0.5484], [0.9888, 0.6175, 0.1150], [0.4888, 0.1150, 0.6175], [0.5112, 0.8850, 0.3825], [0.0112, 0.3825, 0.8850]]}



[6]
{"formula": "LiAuF3", "functional": "PBE", "state": "relaxed", "sg": "Pm-3m (221)", "e_above_lowest_polymorph_mev_per_atom": 322, "total_energy_ev_per_atom": -3.50, "lattice": [[3.7961, 0.0000, 0.0000], [0.0000, 3.7961, 0.0000], [0.0000, 0.0000, 3.7961]], "species": ["Li", "Au", "F", "F", "F"], "fractional_positions": [[0.0000, 0.0000, 0.0000], [0.5000, 0.5000, 0.5000], [0.0000, 0.5000, 0.0000], [0.0000, 0.0000, 0.5000], [0.5000, 0.0000, 0.0000]]}



[7]
{"formula": "LiAuF", "functional": "PBE", "state": "relaxed", "sg": "C2/m (12)", "total_energy_ev_per_atom": -4.11, "lattice": [[2.7132, 0.0000, 0.0000], [-1.3566, 6.9248, 1.3297], [0.0000, -1.4053, 4.8837]], "species": ["Au", "Au", "Li", "Li", "F", "F"], "fractional_positions": [[0.7489, 0.4978, 0.2496], [0.2511, 0.5022, 0.7504], [0.0000, 0.0000, 0.5000], [0.0000, 0.0000, 0.0000], [0.5152, 0.0303, 0.2537], [0.4848, 0.9697, 0.7463]]}



[8]
{"formula": "LiAuF6", "functional": "PBE", "state": "relaxed", "sg": "P-31c (163)", "e_above_lowest_polymorph_mev_per_atom": 8, "total_energy_ev_per_atom": -3.49, "lattice": [[5.0444, 0.0000, 0.0000], [-2.5222, 4.3686, 0.0000], [0.0000, 0.0000, 9.5075]], "species": ["Li", "Li", "Au", "Au", "F", "F", "F", "F", "F", "F", "F", "F", "F", "F", "F", "F"], "fractional_positions": [[0.3333, 0.6667, 0.2500], [0.6667, 0.3333, 0.7500], [0.0000, 0.0000, 0.5000], [0.0000, 0.0000, 0.0000], [0.3075, 0.3205, 0.3803], [0.6925, 0.6795, 0.6197], [0.0129, 0.6925, 0.3803], [0.3075, 0.9870, 0.1197], [0.9871, 0.3075, 0.6197], [0.6925, 0.0130, 0.8803], [0.6795, 0.9870, 0.3803], [0.0129, 0.3205, 0.1197], [0.3205, 0.0130, 0.6197], [0.9871, 0.6795, 0.8803], [0.6795, 0.6925, 0.1197], [0.3205, 0.3075, 0.8803]]}



[9]
{"formula": "LiAu2F", "functional": "PBE", "state": "relaxed", "sg": "Fm-3m (225)", "e_above_lowest_polymorph_mev_per_atom": 314, "total_energy_ev_per_atom": -3.04, "lattice": [[1.4177, -1.7399, 3.7535], [1.5888, 2.5878, 3.1472], [-2.2724, 0.6064, 3.6871]], "species": ["Li", "Au", "Au", "F"], "fractional_positions": [[0.0000, 0.0000, 0.0000], [0.2500, 0.2500, 0.2500], [0.7500, 0.7500, 0.7500], [0.5000, 0.5000, 0.5000]]}



[10]
{"formula": "LiAuF4", "functional": "PBE", "state": "relaxed", "sg": "I4_1md (109)", "total_energy_ev_per_atom": -3.81, "lattice": [[-5.4596, 1.3532, -3.0668], [0.4066, -1.1220, 6.2944], [3.3725, 5.4038, -0.6846]], "species": ["Li", "Li", "Au", "Au", "F", "F", "F", "F", "F", "F", "F", "F"], "fractional_positions": [[0.2526, 0.2526, 0.0000], [0.0026, 0.5026, 0.5000], [0.7482, 0.7482, 0.0000], [0.4982, 0.9982, 0.5000], [0.2522, 0.9175, 0.6653], [0.7474, 0.4080, 0.6606], [0.6675, 0.5022, 0.1653], [0.1580, 0.9974, 0.1606], [0.3368, 0.5022, 0.8347], [0.8369, 0.9974, 0.8394], [0.7474, 0.0869, 0.3394], [0.2522, 0.5868, 0.3347]]}



[11]
{"formula": "LiAuF3", "functional": "PBE", "state": "relaxed", "sg": "P-31m (162)", "e_above_lowest_polymorph_mev_per_atom": 213, "total_energy_ev_per_atom": -3.61, "lattice": [[5.5278, 0.0000, 0.0000], [-2.7639, 4.7872, 0.0000], [0.0000, 0.0000, 5.5466]], "species": ["Li", "Li", "Au", "Au", "F", "F", "F", "F", "F", "F"], "fractional_positions": [[0.3333, 0.6667, 0.0000], [0.6667, 0.3333, 0.0000], [0.0000, 0.0000, 0.7493], [0.0000, 0.0000, 0.2507], [0.0000, 0.3798, 0.7938], [0.3798, 0.0000, 0.7938], [0.3798, 0.3798, 0.2062], [0.6202, 0.6202, 0.7938], [0.6202, 0.0000, 0.2062], [0.0000, 0.6202, 0.2062]]}



[12]
{"formula": "LiAu2F", "functional": "PBE", "state": "relaxed", "sg": "I-42d (122)", "e_above_lowest_polymorph_mev_per_atom": 0, "total_energy_ev_per_atom": -3.36, "lattice": [[3.7022, 0.0000, 0.0000], [0.0000, 3.7022, 0.0000], [1.8511, 1.8511, 11.0827]], "species": ["Li", "Li", "Au", "Au", "Au", "Au", "F", "F"], "fractional_positions": [[0.5000, 0.5000, 0.0000], [0.2500, 0.7500, 0.5000], [0.6248, 0.1250, 0.2500], [0.1252, 0.6250, 0.2500], [0.3750, 0.3752, 0.7500], [0.8750, 0.8748, 0.7500], [0.0000, 0.0000, 0.0000], [0.7500, 0.2500, 0.5000]]}



In eV/atom, the uncorrected formation energy values for the records above are, in order, -1.477; -2.278; -0.061; -0.129; -1.658; -1.336; -1.755; -1.434; -0.459; -1.696; -1.445; -0.773.